20
Lattice="7.306 0.000 0.000 0.000 10.243 0.000 0.000 0.000 7.190" Properties=species:S:1:pos:R:3 comment="Sr3AsN PBE optimized geometry" crystal_system=orthorhombic space_group=Pnma volume_a3_per_atom=26.90 total_energy_ev_per_atom=-4.510 formation_energy_uncorrected_ev_per_atom=-0.91 pbc="T T T"
Sr 0.137 2.561 0.482
Sr 1.521 0.364 5.090
Sr 1.521 4.758 5.090
Sr 2.132 5.485 1.495
Sr 2.132 9.879 1.495
Sr 3.516 7.682 4.077
Sr 3.790 2.561 3.113
Sr 5.174 0.364 5.695
Sr 5.174 4.758 5.695
Sr 5.785 5.485 2.100
Sr 5.785 9.879 2.100
Sr 7.169 7.682 6.708
As 0.292 7.682 3.533
As 3.361 2.561 7.128
As 3.945 7.682 0.062
As 7.014 2.561 3.657
N 0.000 0.000 0.000
N 0.000 5.121 0.000
N 3.653 0.000 3.595
N 3.653 5.121 3.595